{
  "formula": "MgCo2BiO6",
  "functional": "GGA+U",
  "state": "relaxed",
  "lattice_angstrom": [[2.615, 1.510, 4.645], [-2.615, 1.510, 4.645], [0.000, -3.020, 4.645]],
  "species": ["Mg", "Co", "Co", "Bi", "O", "O", "O", "O", "O", "O"],
  "fractional_positions": [[0.000, 0.000, 0.000], [0.302, 0.302, 0.302], [0.785, 0.785, 0.785], [0.506, 0.506, 0.506], [0.094, 0.673, 0.401], [0.177, 0.571, 0.940], [0.401, 0.094, 0.673], [0.571, 0.940, 0.177], [0.673, 0.401, 0.094], [0.940, 0.177, 0.571]],
  "dos_ef_per_ev_fu": 2.3,
  "vol_a3_per_cell": 110.07,
  "total_energy_ev_per_atom": -5.821,
  "space_group": "R3",
  "magnetic_moment_mub_per_fu": 2.93
}